Entry 1:
! NiOs2Cl | Alexandria | GGA-PBE | optimized geometry; values from VASP
! SG: I-42d
! Calculated volume (Å³/atom): 15.70
! Energy (eV/f.u.): -25.36
! Uncorrected formation energy (eV/f.u.): 4.72
&SYSTEM
  ibrav = 0, nat = 8, ntyp = 3
/
ATOMIC_SPECIES
Ni 58.69 Ni.upf
Os 190.23 Os.upf
Cl 35.45 Cl.upf
ATOMIC_POSITIONS crystal
Ni 0.000 0.000 0.000
Ni 0.750 0.250 0.500
Os 0.090 0.625 0.965
Os 0.375 0.340 0.465
Os 0.660 0.125 0.035
Os 0.875 0.910 0.535
Cl 0.250 0.750 0.500
Cl 0.500 0.500 0.000
CELL_PARAMETERS angstrom
-1.822 1.822 9.460
1.822 -1.822 9.460
1.822 1.822 -9.460



Entry 2:
! NiOs2Cl | Alexandria | GGA-PBE | optimized geometry; values from VASP
! SG: Cmmm
! Calculated volume (Å³/atom): 13.69
! Energy (eV/f.u.): -25.20
! Uncorrected formation energy (eV/f.u.): 4.89
&SYSTEM
  ibrav = 0, nat = 4, ntyp = 3
/
ATOMIC_SPECIES
Ni 58.69 Ni.upf
Os 190.23 Os.upf
Cl 35.45 Cl.upf
ATOMIC_POSITIONS crystal
Ni 0.000 0.000 0.000
Os 0.000 0.500 0.500
Os 0.500 0.000 0.500
Cl 0.500 0.500 0.000
CELL_PARAMETERS angstrom
2.877 -3.468 0.000
2.877 3.468 0.000
0.000 0.000 2.745



Entry 3:
! NiOs2Cl | Alexandria | GGA-PBE | optimized geometry; values from VASP
! SG: Cmm2
! Calculated volume (Å³/atom): 15.22
! Energy (eV/f.u.): -27.23
! Uncorrected formation energy (eV/f.u.): 2.86
&SYSTEM
  ibrav = 0, nat = 4, ntyp = 3
/
ATOMIC_SPECIES
Ni 58.69 Ni.upf
Os 190.23 Os.upf
Cl 35.45 Cl.upf
ATOMIC_POSITIONS crystal
Ni 0.000 0.000 0.000
Os 0.000 0.000 0.529
Os 0.500 0.500 0.767
Cl 0.500 0.500 0.201
CELL_PARAMETERS angstrom
1.382 -2.387 0.000
1.382 2.387 0.000
0.000 0.000 9.229



Among the records above, which one has the highest uncorrected formation energy?
number 2